# 1
# LiY2Sc PBE-GGA relaxed
# Energy of formation, eV per atom: 0.34
data_LiY2Sc
_cell_length_a 8.192
_cell_length_b 8.192
_cell_length_c 6.391
_cell_angle_alpha 90.00
_cell_angle_beta 90.00
_cell_angle_gamma 90.00
_symmetry_space_group_name_H-M 'I -4 2 d'
_symmetry_Int_Tables_number 122
_symmetry_space_group_name_Hall 'I -4 2bw'
loop_
_atom_site_label
_atom_site_fract_x
_atom_site_fract_y
_atom_site_fract_z
Li1 0.000 0.000 0.000
Y1 0.211 0.750 0.125
Sc1 0.000 0.000 0.500

=====

# 2
# Tm8MgSn6 PBE-GGA relaxed
# Energy of formation, eV per atom: -0.49
data_Tm8MgSn6
_cell_length_a 9.0020
_cell_length_b 9.0020
_cell_length_c 18.8263
_cell_angle_alpha 90.00
_cell_angle_beta 90.00
_cell_angle_gamma 120.00
_symmetry_space_group_name_H-M 'R -3'
_symmetry_Int_Tables_number 148
_symmetry_space_group_name_Hall '-R 3'
loop_
_atom_site_label
_atom_site_fract_x
_atom_site_fract_y
_atom_site_fract_z
Tm1 0.0000 0.0000 0.1669
Tm2 0.0043 0.7082 0.5983
Mg1 0.0000 0.0000 0.5000
Sn1 0.0027 0.6387 0.4274

=====

# 3
# YZn2Ni2Ge PBE-GGA relaxed
# Energy of formation, eV per atom: -0.20
data_YZn2Ni2Ge
_cell_length_a 4.375
_cell_length_b 4.375
_cell_length_c 5.546
_cell_angle_alpha 90.00
_cell_angle_beta 90.00
_cell_angle_gamma 90.00
_symmetry_space_group_name_H-M 'P 4/m m m'
_symmetry_Int_Tables_number 123
_symmetry_space_group_name_Hall '-P 4 2'
loop_
_atom_site_label
_atom_site_fract_x
_atom_site_fract_y
_atom_site_fract_z
Y1 0.000 0.000 0.000
Zn1 0.500 0.500 0.238
Ni1 0.000 0.500 0.500
Ge1 0.000 0.000 0.500

=====

Table of total DFT energy (no corrections) (eV per atom), in record order: -4.95 -4.58 -4.40